Record 1
Below is La2ZnSnO6 at its PBEsol-relaxed geometry, with properties calculated at the SCAN level.

a = 5.613 Å, b = 5.613 Å, c = 5.613 Å
α = 61.45°, β = 61.45°, γ = 61.45°
Positions (direct):
La 0.750 0.750 0.750
La 0.250 0.250 0.250
Zn 0.500 0.500 0.500
Sn 0.000 0.000 0.000
O 0.755 0.338 0.158
O 0.158 0.755 0.338
O 0.338 0.158 0.755
O 0.245 0.662 0.842
O 0.662 0.842 0.245
O 0.842 0.245 0.662

## Properties
DFT total energy, eV/atom: -20.068
Space-group type: R-3
Total moment, Bohr magnetons per cell: 0.0
DOS(E_F), states/eV/f.u.: 0.00
E_form (uncorrected), eV/atom: -2.765



Record 2
Below is Cr2MoSe at its PBEsol-relaxed geometry, with properties calculated at the SCAN level.

a = 3.021 Å, b = 4.154 Å, c = 4.154 Å
α = 90.00°, β = 90.00°, γ = 90.00°
Positions (direct):
Cr 0.000 0.000 0.500
Cr 0.000 0.500 0.000
Mo 0.500 0.500 0.500
Se 0.500 0.000 0.000

## Properties
DFT total energy, eV/atom: -22.611
Space-group type: P4/mmm
Total moment, Bohr magnetons per cell: 1.7
DOS(E_F), states/eV/f.u.: 2.69
E_form (uncorrected), eV/atom: 0.323



Record 3
Below is Cd2PW at its PBEsol-relaxed geometry, with properties calculated at the SCAN level.

a = 2.813 Å, b = 2.813 Å, c = 10.463 Å
α = 90.00°, β = 90.00°, γ = 112.15°
Positions (direct):
Cd 0.000 0.000 0.031
Cd 0.500 0.500 0.758
P 0.000 0.000 0.441
W 0.500 0.500 0.270

## Properties
DFT total energy, eV/atom: -34.918
ΔE to the lowest computed polymorph, eV/f.u.: 0.00
Calculated formation energy, eV/atom: 0.31
Space-group type: Cmm2
Total moment, Bohr magnetons per cell: 0.0
DOS(E_F), states/eV/f.u.: 1.66



Record 4
Below is MnCr2Ir at its PBEsol-relaxed geometry, with properties calculated at the SCAN level.

a = 2.601 Å, b = 3.549 Å, c = 5.147 Å
α = 90.00°, β = 90.00°, γ = 90.00°
Positions (direct):
Cr 0.000 0.000 0.735
Cr 0.000 0.000 0.265
Ir 0.500 0.500 0.000
Mn 0.500 0.500 0.500

## Properties
DFT total energy, eV/atom: -31.635
Calculated formation energy, eV/atom: -0.10
Space-group type: Pmmm
Total moment, Bohr magnetons per cell: 1.5
DOS(E_F), states/eV/f.u.: 3.77



Record 5
Below is Sc4SiMo at its PBEsol-relaxed geometry, with properties calculated at the SCAN level.

a = 5.423 Å, b = 5.423 Å, c = 5.423 Å
α = 60.00°, β = 60.00°, γ = 60.00°
Positions (direct):
Mo 0.000 0.000 0.000
Sc 0.373 0.373 0.373
Sc 0.373 0.373 0.880
Sc 0.880 0.373 0.373
Sc 0.373 0.880 0.373
Si 0.750 0.750 0.750

## Properties
DFT total energy, eV/atom: -16.408
Space-group type: F-43m
Total moment, Bohr magnetons per cell: 0.0
DOS(E_F), states/eV/f.u.: 6.48
E_form (uncorrected), eV/atom: 0.566



Record 6
Below is TaSi2Se at its PBEsol-relaxed geometry, with properties calculated at the SCAN level.

a = 3.215 Å, b = 4.490 Å, c = 5.234 Å
α = 113.78°, β = 105.74°, γ = 94.78°
Positions (direct):
Se 0.000 0.500 0.000
Si 0.000 0.000 0.500
Si 0.500 0.500 0.500
Ta 0.500 0.000 0.000

## Properties
DFT total energy, eV/atom: -26.294
Space-group type: C2/m
Total moment, Bohr magnetons per cell: 0.0
DOS(E_F), states/eV/f.u.: 2.02
E_form (uncorrected), eV/atom: 0.379



Record 7
Below is TaTeRu2 at its PBEsol-relaxed geometry, with properties calculated at the SCAN level.

a = 3.174 Å, b = 4.451 Å, c = 5.324 Å
α = 114.71°, β = 107.35°, γ = 90.00°
Positions (direct):
Ru 0.981 0.981 0.962
Ru 0.754 0.254 0.508
Ta 0.507 0.507 0.014
Te 0.258 0.758 0.516

## Properties
DFT total energy, eV/atom: -43.275
Space-group type: Imm2
Total moment, Bohr magnetons per cell: 0.0
DOS(E_F), states/eV/f.u.: 3.73
E_form (uncorrected), eV/atom: 0.097



Record 8
Below is Nb5Se4 at its PBEsol-relaxed geometry, with properties calculated at the SCAN level.

a = 3.407 Å, b = 7.190 Å, c = 7.190 Å
α = 86.78°, β = 76.30°, γ = 76.30°
Positions (direct):
Nb 0.626 0.071 0.678
Nb 0.697 0.678 0.929
Nb 0.303 0.322 0.071
Nb 0.374 0.929 0.322
Nb 0.000 0.000 0.000
Se 0.718 0.224 0.340
Se 0.942 0.340 0.776
Se 0.058 0.660 0.224
Se 0.282 0.776 0.660

## Properties
DFT total energy, eV/atom: -28.081
Space-group type: I4/m
Total moment, Bohr magnetons per cell: 0.0
DOS(E_F), states/eV/f.u.: 4.34
E_form (uncorrected), eV/atom: -0.752